No. 1
NaIn2Ge (GGA-PBE, relaxed); energy of formation from the pure elements = -4.32 kJ per mole of atoms; electronic total energy = -92.7 eV per cell; total moment = 0.00 μB/atom
1.0
5.856 0.000 0.000
0.000 8.572 0.000
0.000 0.000 16.394
In Na Ge
16 8 8
Direct
0.236 0.458 0.532
0.001 0.450 0.782
0.236 0.042 0.532
0.499 0.450 0.282
0.999 0.950 0.218
0.999 0.550 0.218
0.001 0.050 0.782
0.764 0.958 0.468
0.499 0.050 0.282
0.736 0.542 0.968
0.736 0.958 0.968
0.764 0.542 0.468
0.264 0.042 0.032
0.501 0.950 0.718
0.264 0.458 0.032
0.501 0.550 0.718
0.012 0.250 0.354
0.488 0.250 0.854
0.233 0.750 0.390
0.767 0.250 0.610
0.512 0.750 0.146
0.267 0.750 0.890
0.733 0.250 0.110
0.988 0.750 0.646
0.229 0.250 0.168
0.771 0.750 0.832
0.509 0.250 0.429
0.271 0.250 0.668
0.009 0.750 0.071
0.729 0.750 0.332
0.491 0.750 0.571
0.991 0.250 0.929

***

No. 2
MoRuRh2 (GGA-PBE, relaxed); energy of formation from the pure elements = -9.50 kJ per mole of atoms; electronic total energy = -35.2 eV per cell; total moment = 0.00 μB/atom; polymorph energy (0 for the lowest one) = 109.9 meV/atom
1.0
-2.519 -3.128 2.440
2.603 -3.873 0.554
0.971 4.518 0.854
Rh Mo Ru
2 1 1
Direct
0.000 0.000 0.000
0.250 0.750 0.500
0.750 0.250 0.500
0.500 0.500 0.000

***

- What is the energy of formation from the pure elements in the second record?
  -9.50 kJ per mole of atoms

***

- What is the formula in the first record?
  NaIn2Ge

***

- What is the electronic total energy in the first record?
  -92.7 eV per cell

***

- What is the formula in the first record?
  NaIn2Ge